(1)
# Li2In12Hg5, relaxed, DFT PBE
data_Li2In12Hg5
_chemical_formula_sum 'Li4 In24 Hg10'
_space_group_name_H-M_alt 'C 1 2/m 1'
_space_group_IT_number 12
_cell_length_a 14.9063
_cell_length_b 8.3014
_cell_length_c 8.3480
_cell_angle_alpha 90.00
_cell_angle_beta 105.96
_cell_angle_gamma 90.00
loop_
_space_group_symop_operation_xyz
'x,y,z'
'-x,-y,-z'
'-x,y,-z'
'x,-y,z'
'x+1/2,y+1/2,z'
'-x+1/2,-y+1/2,-z'
'-x+1/2,y+1/2,-z'
'x+1/2,-y+1/2,z'
loop_
_atom_site_label
_atom_site_type_symbol
_atom_site_fract_x
_atom_site_fract_y
_atom_site_fract_z
Li1 Li 0.0000 0.1791 0.0000
In1 In 0.0330 0.0000 0.7002
In2 In 0.0457 0.5000 0.1796
In3 In 0.1416 0.2336 0.4604
In4 In 0.1546 0.3092 0.8673
Hg1 Hg 0.0000 0.5000 0.5000
Hg2 Hg 0.1647 0.0000 0.1599
Hg3 Hg 0.2484 0.5000 0.2477
# - total magnetic moment (μB per cell) = 0.00
# - V (Å³/atom) = 26.136
# - E_form (eV per formula unit) = -0.3



(2)
# TiCdIn, relaxed, DFT PBE
data_TiCdIn
_chemical_formula_sum 'Ti2 Cd2 In2'
_space_group_name_H-M_alt 'P 1 21/m 1'
_space_group_IT_number 11
_cell_length_a 3.0887
_cell_length_b 4.9244
_cell_length_c 8.1984
_cell_angle_alpha 90.00
_cell_angle_beta 100.82
_cell_angle_gamma 90.00
loop_
_space_group_symop_operation_xyz
'x,y,z'
'-x,-y,-z'
'-x,y+1/2,-z'
'x,-y+1/2,z'
loop_
_atom_site_label
_atom_site_type_symbol
_atom_site_fract_x
_atom_site_fract_y
_atom_site_fract_z
Ti1 Ti 0.0534 0.2500 0.1042
Cd1 Cd 0.2853 0.7500 0.5701
In1 In 0.3974 0.2500 0.7946
# - total magnetic moment (μB per cell) = 1.56
# - V (Å³/atom) = 20.413
# - E_form (eV per formula unit) = -0.1



(3)
# PmDyLuPb, relaxed, DFT PBE
data_PmDyLuPb
_chemical_formula_sum 'Pm4 Dy4 Lu4 Pb4'
_space_group_name_H-M_alt 'F -4 3 m'
_space_group_IT_number 216
_space_group_name_Hall 'F -4 2 3'
_cell_length_a 7.7747
_cell_length_b 7.7747
_cell_length_c 7.7747
_cell_angle_alpha 90.00
_cell_angle_beta 90.00
_cell_angle_gamma 90.00
loop_
_atom_site_label
_atom_site_type_symbol
_atom_site_fract_x
_atom_site_fract_y
_atom_site_fract_z
Pm1 Pm 0.0000 0.0000 0.0000
Dy1 Dy 0.0000 0.0000 0.5000
Lu1 Lu 0.2500 0.2500 0.7500
Pb1 Pb 0.2500 0.2500 0.2500
# - total magnetic moment (μB per cell) = 0.00
# - V (Å³/atom) = 29.371
# - E_form (eV per formula unit) = -0.5



(4)
# MgZr2In, relaxed, DFT PBE
data_MgZr2In
_chemical_formula_sum 'Mg1 Zr2 In1'
_space_group_name_H-M_alt 'P 4/m m m'
_space_group_IT_number 123
_space_group_name_Hall '-P 4 2'
_cell_length_a 3.1566
_cell_length_b 3.1566
_cell_length_c 8.9556
_cell_angle_alpha 90.00
_cell_angle_beta 90.00
_cell_angle_gamma 90.00
loop_
_atom_site_label
_atom_site_type_symbol
_atom_site_fract_x
_atom_site_fract_y
_atom_site_fract_z
Mg1 Mg 0.0000 0.0000 0.0000
Zr1 Zr 0.5000 0.5000 0.2560
In1 In 0.0000 0.0000 0.5000
# - total magnetic moment (μB per cell) = 0.00
# - V (Å³/atom) = 22.309
# - E_form (eV per formula unit) = -0.5



(5)
# PrCoGe, relaxed, DFT PBE
data_PrCoGe
_chemical_formula_sum 'Pr1 Co1 Ge1'
_space_group_name_H-M_alt 'P -6 m 2'
_space_group_IT_number 187
_space_group_name_Hall 'P -6 2'
_cell_length_a 4.1347
_cell_length_b 4.1347
_cell_length_c 4.1714
_cell_angle_alpha 90.00
_cell_angle_beta 90.00
_cell_angle_gamma 120.00
loop_
_atom_site_label
_atom_site_type_symbol
_atom_site_fract_x
_atom_site_fract_y
_atom_site_fract_z
Pr1 Pr 0.0000 0.0000 0.0000
Co1 Co 0.3333 0.6667 0.5000
Ge1 Ge 0.6667 0.3333 0.5000
# - total magnetic moment (μB per cell) = 0.60
# - V (Å³/atom) = 20.586
# - E_form (eV per formula unit) = -1.5



(6)
# NaRhI2, relaxed, DFT PBE
data_NaRhI2
_chemical_formula_sum 'Na3 Rh3 I6'
_space_group_name_H-M_alt 'R -3 m'
_space_group_IT_number 166
_space_group_name_Hall '-R 3 2"'
_cell_length_a 4.2286
_cell_length_b 4.2286
_cell_length_c 26.3998
_cell_angle_alpha 90.00
_cell_angle_beta 90.00
_cell_angle_gamma 120.00
loop_
_atom_site_label
_atom_site_type_symbol
_atom_site_fract_x
_atom_site_fract_y
_atom_site_fract_z
Na1 Na 0.0000 0.0000 0.0000
Rh1 Rh 0.0000 0.0000 0.5000
I1 I 0.0000 0.0000 0.1114
# - raw formation energy (meV/atom) = -118
# - total magnetic moment (μB per cell) = 5.17
# - V (Å³/atom) = 34.068
# - distance to the lowest polymorph of the same formula (eV/atom) = 0.143



(7)
# CaAgI3, relaxed, DFT PBE
data_CaAgI3
_chemical_formula_sum 'Ca4 Ag4 I12'
_space_group_name_H-M_alt 'P n m a'
_space_group_IT_number 62
_cell_length_a 8.6718
_cell_length_b 12.1436
_cell_length_c 7.7795
_cell_angle_alpha 90.00
_cell_angle_beta 90.00
_cell_angle_gamma 90.00
loop_
_space_group_symop_operation_xyz
'x,y,z'
'-x,-y,-z'
'-x+1/2,-y,z+1/2'
'x+1/2,y,-z+1/2'
'x+1/2,-y+1/2,-z+1/2'
'-x+1/2,y+1/2,z+1/2'
'-x,y+1/2,-z'
'x,-y+1/2,z'
loop_
_atom_site_label
_atom_site_type_symbol
_atom_site_fract_x
_atom_site_fract_y
_atom_site_fract_z
Ca1 Ca 0.0000 0.0000 0.0000
Ag1 Ag 0.1778 0.2500 0.4590
I1 I 0.0183 0.2500 0.1402
I2 I 0.1819 0.0567 0.6615
# - raw formation energy (meV/atom) = -1019
# - total magnetic moment (μB per cell) = 0.00
# - V (Å³/atom) = 40.962
# - distance to the lowest polymorph of the same formula (eV/atom) = 0.034



(8)
# AcEuDyHo, relaxed, DFT PBE
data_AcEuDyHo
_chemical_formula_sum 'Ac4 Eu4 Dy4 Ho4'
_space_group_name_H-M_alt 'F -4 3 m'
_space_group_IT_number 216
_space_group_name_Hall 'F -4 2 3'
_cell_length_a 8.3808
_cell_length_b 8.3808
_cell_length_c 8.3808
_cell_angle_alpha 90.00
_cell_angle_beta 90.00
_cell_angle_gamma 90.00
loop_
_atom_site_label
_atom_site_type_symbol
_atom_site_fract_x
_atom_site_fract_y
_atom_site_fract_z
Ac1 Ac 0.0000 0.0000 0.0000
Eu1 Eu 0.2500 0.2500 0.2500
Dy1 Dy 0.0000 0.0000 0.5000
Ho1 Ho 0.2500 0.2500 0.7500
# - total magnetic moment (μB per cell) = 31.47
# - V (Å³/atom) = 36.790
# - E_form (eV per formula unit) = 0.6



(9)
# CaCdBr2, relaxed, DFT PBE
data_CaCdBr2
_chemical_formula_sum 'Ca1 Cd1 Br2'
_space_group_name_H-M_alt 'P 1 m 1'
_space_group_IT_number 6
_cell_length_a 4.5491
_cell_length_b 3.9870
_cell_length_c 7.3593
_cell_angle_alpha 90.00
_cell_angle_beta 107.95
_cell_angle_gamma 90.00
loop_
_space_group_symop_operation_xyz
'x,y,z'
'x,-y,z'
loop_
_atom_site_label
_atom_site_type_symbol
_atom_site_fract_x
_atom_site_fract_y
_atom_site_fract_z
Ca1 Ca 0.0000 0.0000 0.0000
Cd1 Cd 0.8074 0.5000 0.6055
Br1 Br 0.2009 0.0000 0.3994
Br2 Br 0.5246 0.5000 0.0478
# - raw formation energy (meV/atom) = -1174
# - total magnetic moment (μB per cell) = 0.00
# - V (Å³/atom) = 31.745
# - distance to the lowest polymorph of the same formula (eV/atom) = 0.201



(10)
# U3Os, relaxed, DFT PBE
data_U3Os
_chemical_formula_sum 'U12 Os4'
_space_group_name_H-M_alt 'F m -3 m'
_space_group_IT_number 225
_space_group_name_Hall '-F 4 2 3'
_cell_length_a 6.7177
_cell_length_b 6.7177
_cell_length_c 6.7177
_cell_angle_alpha 90.00
_cell_angle_beta 90.00
_cell_angle_gamma 90.00
loop_
_atom_site_label
_atom_site_type_symbol
_atom_site_fract_x
_atom_site_fract_y
_atom_site_fract_z
U1 U 0.0000 0.0000 0.0000
U2 U 0.2500 0.2500 0.2500
Os1 Os 0.0000 0.0000 0.5000
# - total magnetic moment (μB per cell) = 0.01
# - V (Å³/atom) = 18.947
# - E_form (eV per formula unit) = 0.1



(11)
# Zn2PtAu, relaxed, DFT PBE
data_Zn2PtAu
_chemical_formula_sum 'Zn8 Pt4 Au4'
_space_group_name_H-M_alt 'I -4 2 d'
_space_group_IT_number 122
_space_group_name_Hall 'I -4 2bw'
_cell_length_a 7.0182
_cell_length_b 7.0182
_cell_length_c 5.5137
_cell_angle_alpha 90.00
_cell_angle_beta 90.00
_cell_angle_gamma 90.00
loop_
_atom_site_label
_atom_site_type_symbol
_atom_site_fract_x
_atom_site_fract_y
_atom_site_fract_z
Zn1 Zn 0.2418 0.2500 0.1250
Pt1 Pt 0.0000 0.0000 0.0000
Au1 Au 0.0000 0.0000 0.5000
# - total magnetic moment (μB per cell) = 0.00
# - V (Å³/atom) = 16.974
# - E_form (eV per formula unit) = -0.5



(12)
# K3PPd2, relaxed, DFT PBE
data_K3PPd2
_chemical_formula_sum 'K12 P4 Pd8'
_space_group_name_H-M_alt 'P 1 21/c 1'
_space_group_IT_number 14
_cell_length_a 7.9026
_cell_length_b 10.5188
_cell_length_c 11.3328
_cell_angle_alpha 90.00
_cell_angle_beta 132.49
_cell_angle_gamma 90.00
loop_
_space_group_symop_operation_xyz
'x,y,z'
'-x,-y,-z'
'-x,y+1/2,-z+1/2'
'x,-y+1/2,z+1/2'
loop_
_atom_site_label
_atom_site_type_symbol
_atom_site_fract_x
_atom_site_fract_y
_atom_site_fract_z
K1 K 0.1009 0.0961 0.1634
K2 K 0.2201 0.0063 0.7377
K3 K 0.3823 0.7330 0.1118
P1 P 0.2789 0.2140 0.9890
Pd1 Pd 0.1054 0.6988 0.7250
Pd2 Pd 0.4571 0.0953 0.5566
# - total magnetic moment (μB per cell) = 0.00
# - V (Å³/atom) = 28.944
# - E_form (eV per formula unit) = -1.2